# 1
Here is crystalline LiVO2 at its relaxed geometry from Alexandria. Energies are from PBE with a Hubbard U.

Values from the calculation:
Electronic total energy ... -6.833 eV/atom
Space-group type ... P-3m1, No. 164
Calculated volume ... 39.0 Å³/cell

Structure (CIF):
```
data_LiVO2
_chemical_formula_sum 'Li1 V1 O2'
_cell_length_a 2.9438
_cell_length_b 2.9438
_cell_length_c 5.1960
_cell_angle_alpha 90.00
_cell_angle_beta 90.00
_cell_angle_gamma 120.00
_space_group_name_H-M_alt 'P 1'
_space_group_IT_number 1
loop_
_space_group_symop_operation_xyz
'x,y,z'
loop_
_atom_site_label
_atom_site_type_symbol
_atom_site_fract_x
_atom_site_fract_y
_atom_site_fract_z
_atom_site_occupancy
Li1 Li 0.0000 0.0000 0.0000 1
V1 V 0.0000 0.0000 0.5000 1
O1 O 0.3333 0.6667 0.2751 1
O2 O 0.6667 0.3333 0.7249 1
```

# 2
Here is crystalline Li4V7O12 at its relaxed geometry from Alexandria. Energies are from PBE with a Hubbard U.

Values from the calculation:
Electronic total energy ... -7.206 eV/atom
Space-group type ... P2_1, No. 4
Calculated volume ... 457.6 Å³/cell

Structure (CIF):
```
data_Li4V7O12
_chemical_formula_sum 'Li8 V14 O24'
_cell_length_a 5.2386
_cell_length_b 8.9494
_cell_length_c 9.9330
_cell_angle_alpha 90.00
_cell_angle_beta 100.67
_cell_angle_gamma 90.00
_space_group_name_H-M_alt 'P 1'
_space_group_IT_number 1
loop_
_space_group_symop_operation_xyz
'x,y,z'
loop_
_atom_site_label
_atom_site_type_symbol
_atom_site_fract_x
_atom_site_fract_y
_atom_site_fract_z
_atom_site_occupancy
Li1 Li 0.0062 0.0000 0.2442 1
Li2 Li 0.2508 0.0081 0.9972 1
Li3 Li 0.4857 0.0106 0.7574 1
Li4 Li 0.4915 0.1736 0.2412 1
Li5 Li 0.5085 0.6736 0.7588 1
Li6 Li 0.5143 0.5106 0.2426 1
Li7 Li 0.7492 0.5081 0.0028 1
Li8 Li 0.9938 0.5000 0.7558 1
V1 V 0.0042 0.8530 0.7589 1
V2 V 0.2417 0.1774 0.5015 1
V3 V 0.2424 0.6682 0.0019 1
V4 V 0.2458 0.8376 0.4958 1
V5 V 0.2488 0.3337 0.9945 1
V6 V 0.2518 0.5233 0.4961 1
V7 V 0.4916 0.8444 0.2423 1
V8 V 0.5084 0.3444 0.7577 1
V9 V 0.7482 0.0233 0.5039 1
V10 V 0.7512 0.8337 0.0055 1
V11 V 0.7542 0.3376 0.5042 1
V12 V 0.7576 0.1682 0.9981 1
V13 V 0.7583 0.6774 0.4985 1
V14 V 0.9958 0.3530 0.2411 1
O1 O 0.1142 0.6835 0.6241 1
O2 O 0.1184 0.1838 0.1193 1
O3 O 0.1261 0.0021 0.6156 1
O4 O 0.1350 0.4916 0.1153 1
O5 O 0.1433 0.8362 0.1208 1
O6 O 0.1506 0.3533 0.6156 1
O7 O 0.3554 0.3461 0.3792 1
O8 O 0.3590 0.8298 0.8759 1
O9 O 0.3641 0.4965 0.8764 1
O10 O 0.3725 0.0094 0.3798 1
O11 O 0.4017 0.1800 0.8846 1
O12 O 0.4063 0.6827 0.3784 1
O13 O 0.5937 0.1827 0.6216 1
O14 O 0.5983 0.6800 0.1154 1
O15 O 0.6275 0.5094 0.6202 1
O16 O 0.6359 0.9965 0.1236 1
O17 O 0.6410 0.3298 0.1241 1
O18 O 0.6446 0.8461 0.6208 1
O19 O 0.8494 0.8533 0.3844 1
O20 O 0.8567 0.3362 0.8792 1
O21 O 0.8650 0.9916 0.8847 1
O22 O 0.8739 0.5021 0.3844 1
O23 O 0.8816 0.6838 0.8807 1
O24 O 0.8858 0.1835 0.3759 1
```

# 3
Here is crystalline Li7V5O12 at its relaxed geometry from Alexandria. Energies are from PBE with a Hubbard U.

Values from the calculation:
Excess energy over the best structure of this formula in the dataset ... 0.0 meV/atom
Space-group type ... C2/m, No. 12
Calculated volume ... 222.5 Å³/cell

Structure (CIF):
```
data_Li7V5O12
_chemical_formula_sum 'Li7 V5 O12'
_cell_length_a 5.1632
_cell_length_b 5.1632
_cell_length_c 9.9118
_cell_angle_alpha 95.32
_cell_angle_beta 95.32
_cell_angle_gamma 120.97
_space_group_name_H-M_alt 'P 1'
_space_group_IT_number 1
loop_
_space_group_symop_operation_xyz
'x,y,z'
loop_
_atom_site_label
_atom_site_type_symbol
_atom_site_fract_x
_atom_site_fract_y
_atom_site_fract_z
_atom_site_occupancy
Li1 Li 0.0000 0.0000 0.0000 1
Li2 Li 0.0797 0.4050 0.2464 1
Li3 Li 0.2498 0.2498 0.7520 1
Li4 Li 0.4050 0.0797 0.2464 1
Li5 Li 0.5950 0.9203 0.7536 1
Li6 Li 0.7502 0.7502 0.2480 1
Li7 Li 0.9203 0.5950 0.7536 1
V1 V 0.1669 0.8331 0.5000 1
V2 V 0.3373 0.6627 0.0000 1
V3 V 0.5000 0.5000 0.5000 1
V4 V 0.6627 0.3373 0.0000 1
V5 V 0.8331 0.1669 0.5000 1
O1 O 0.0236 0.6688 0.1121 1
O2 O 0.1228 0.1228 0.3815 1
O3 O 0.2093 0.5419 0.6158 1
O4 O 0.3312 0.9764 0.8879 1
O5 O 0.3917 0.3917 0.1122 1
O6 O 0.4581 0.7907 0.3842 1
O7 O 0.5419 0.2093 0.6158 1
O8 O 0.6083 0.6083 0.8878 1
O9 O 0.6688 0.0236 0.1121 1
O10 O 0.7907 0.4581 0.3842 1
O11 O 0.8772 0.8772 0.6185 1
O12 O 0.9764 0.3312 0.8879 1
```

# 4
Here is crystalline Li4VO4 at its relaxed geometry from Alexandria. Energies are from PBE with a Hubbard U.

Values from the calculation:
Electronic total energy ... -5.794 eV/atom
Space-group type ... P4_2/nmc, No. 137
Calculated volume ... 182.9 Å³/cell

Structure (CIF):
```
data_Li4VO4
_chemical_formula_sum 'Li8 V2 O8'
_cell_length_a 6.0252
_cell_length_b 6.0252
_cell_length_c 5.0391
_cell_angle_alpha 90.00
_cell_angle_beta 90.00
_cell_angle_gamma 90.00
_space_group_name_H-M_alt 'P 1'
_space_group_IT_number 1
loop_
_space_group_symop_operation_xyz
'x,y,z'
loop_
_atom_site_label
_atom_site_type_symbol
_atom_site_fract_x
_atom_site_fract_y
_atom_site_fract_z
_atom_site_occupancy
Li1 Li 0.0521 0.2500 0.1579 1
Li2 Li 0.2500 0.0521 0.6579 1
Li3 Li 0.2500 0.4479 0.6579 1
Li4 Li 0.4479 0.2500 0.1579 1
Li5 Li 0.5521 0.7500 0.8421 1
Li6 Li 0.7500 0.5521 0.3421 1
Li7 Li 0.7500 0.9479 0.3421 1
Li8 Li 0.9479 0.7500 0.8421 1
V1 V 0.2500 0.7500 0.2500 1
V2 V 0.7500 0.2500 0.7500 1
O1 O 0.0040 0.7500 0.4612 1
O2 O 0.2500 0.5040 0.0388 1
O3 O 0.2500 0.9960 0.0388 1
O4 O 0.4960 0.7500 0.4612 1
O5 O 0.5040 0.2500 0.5388 1
O6 O 0.7500 0.0040 0.9612 1
O7 O 0.7500 0.4960 0.9612 1
O8 O 0.9960 0.2500 0.5388 1
```

# 5
Here is crystalline LiV4O8 at its relaxed geometry from Alexandria. Energies are from PBE with a Hubbard U.

Values from the calculation:
Excess energy over the best structure of this formula in the dataset ... 147.2 meV/atom
Space-group type ... C2/m, No. 12
Calculated volume ... 158.8 Å³/cell
DOS at the Fermi energy ... 1.24 states/eV/cell

Structure (CIF):
```
data_LiV4O8
_chemical_formula_sum 'Li1 V4 O8'
_cell_length_a 5.2537
_cell_length_b 5.2537
_cell_length_c 6.3801
_cell_angle_alpha 93.72
_cell_angle_beta 93.72
_cell_angle_gamma 64.78
_space_group_name_H-M_alt 'P 1'
_space_group_IT_number 1
loop_
_space_group_symop_operation_xyz
'x,y,z'
loop_
_atom_site_label
_atom_site_type_symbol
_atom_site_fract_x
_atom_site_fract_y
_atom_site_fract_z
_atom_site_occupancy
Li1 Li 0.0000 0.0000 0.0000 1
V1 V 0.1605 0.1605 0.7103 1
V2 V 0.5000 0.5000 0.0000 1
V3 V 0.5000 0.5000 0.5000 1
V4 V 0.8395 0.8395 0.2897 1
O1 O 0.2173 0.7176 0.2548 1
O2 O 0.2712 0.2712 0.9380 1
O3 O 0.2761 0.2761 0.5073 1
O4 O 0.2824 0.7827 0.7452 1
O5 O 0.7176 0.2173 0.2548 1
O6 O 0.7239 0.7239 0.4927 1
O7 O 0.7288 0.7288 0.0620 1
O8 O 0.7827 0.2824 0.7452 1
```

# 6
Here is crystalline LiVO2 at its relaxed geometry from Alexandria. Energies are from PBE with a Hubbard U.

Values from the calculation:
Electronic total energy ... -6.899 eV/atom
Space-group type ... P-1, No. 2
Calculated volume ... 191.6 Å³/cell

Structure (CIF):
```
data_LiVO2
_chemical_formula_sum 'Li5 V5 O10'
_cell_length_a 5.1909
_cell_length_b 5.1928
_cell_length_c 7.9428
_cell_angle_alpha 102.39
_cell_angle_beta 108.11
_cell_angle_gamma 100.33
_space_group_name_H-M_alt 'P 1'
_space_group_IT_number 1
loop_
_space_group_symop_operation_xyz
'x,y,z'
loop_
_atom_site_label
_atom_site_type_symbol
_atom_site_fract_x
_atom_site_fract_y
_atom_site_fract_z
_atom_site_occupancy
Li1 Li 0.0000 0.0000 0.0000 1
Li2 Li 0.2120 0.1174 0.7294 1
Li3 Li 0.4186 0.7157 0.9147 1
Li4 Li 0.5814 0.2843 0.0853 1
Li5 Li 0.7880 0.8826 0.2706 1
V1 V 0.0000 0.5000 0.5000 1
V2 V 0.2045 0.5959 0.1885 1
V3 V 0.3928 0.1901 0.3922 1
V4 V 0.6072 0.8099 0.6078 1
V5 V 0.7955 0.4041 0.8115 1
O1 O 0.0268 0.2689 0.2679 1
O2 O 0.1873 0.3638 0.9572 1
O3 O 0.2166 0.8291 0.4468 1
O4 O 0.3935 0.4475 0.6371 1
O5 O 0.3984 0.9506 0.1658 1
O6 O 0.6016 0.0494 0.8342 1
O7 O 0.6065 0.5525 0.3629 1
O8 O 0.7834 0.1709 0.5532 1
O9 O 0.8127 0.6362 0.0428 1
O10 O 0.9732 0.7311 0.7321 1
```